No. 1
The following is a DFT calculation (PBE) of a relaxed LiZr crystal.

- Polymorph energy (0 for the lowest one): 402 meV/atom
- SG: P2_13, No. 198
- Spin magnetization: 3.28 μB per cell
- ΔE_f: 0.49 eV per atom
- Fermi-level density of states: 1.022 states/eV/atom

Cell lengths 5.4076, 5.4076, 5.4076 Å; angles 90.00, 90.00, 90.00 degrees
Fractional positions:
1 Li 0.0951 0.4049 0.5951
2 Li 0.4049 0.5951 0.0951
3 Li 0.5951 0.0951 0.4049
4 Li 0.9049 0.9049 0.9049
5 Zr 0.0841 0.9159 0.4159
6 Zr 0.4159 0.0841 0.9159
7 Zr 0.5841 0.5841 0.5841
8 Zr 0.9159 0.4159 0.0841

---

No. 2
The following is a DFT calculation (PBE) of a relaxed TaF crystal.

- Polymorph energy (0 for the lowest one): 0 meV/atom
- SG: Pmmn, No. 59
- Raw formation energy: -1.662 eV/atom
- Spin magnetization: 0.00 μB per cell
- Fermi-level density of states: 0.572 states/eV/atom

Cell lengths 2.8881, 3.2990, 7.2628 Å; angles 90.00, 90.00, 90.00 degrees
Fractional positions:
1 Ta 0.2500 0.2500 0.1237
2 Ta 0.7500 0.7500 0.8763
3 F 0.2500 0.7500 0.6640
4 F 0.7500 0.2500 0.3360